Below is a relaxed Dy2Y3Er6Zr crystal, with properties calculated at the PBE level.

Computed properties:
As for the final energy: -5.331 eV/atom. The size of the total moment is 0.00 μB/cell. Its formation energy is 0.5 eV/f.u.

Lattice parameters (Å, degrees): 6.063 10.483 11.592 90.00 99.97 90.00
Space group C2/m (No. 12)
Unique sites:
Dy: 0.000 0.167 0.000 [4 per cell]
Y: 0.000 0.000 0.500 [2 per cell]
Y: 0.000 0.333 0.500 [4 per cell]
Er: 0.245 0.337 0.244 [8 per cell]
Er: 0.246 0.500 0.757 [4 per cell]
Zr: 0.000 0.500 0.000 [2 per cell]